PdSe2 | PBE | optimized geometry

Calculated values
- Formation energy without anion corrections: -26.9 kJ/mol of atoms
- Space group: P2_1/c, No. 14

Geometry as POSCAR:
```
PdSe2
1.0
-4.928 2.987 0.260
-0.465 -0.252 -5.908
-2.101 -3.608 1.614
Pd Se
2 4
direct
0.000 0.500 0.000
0.500 0.000 0.000
0.390 0.657 0.175
0.110 0.157 0.175
0.610 0.343 0.825
0.890 0.843 0.825
```

PdSe | PBE | optimized geometry

Calculated values
- Formation energy without anion corrections: -30.8 kJ/mol of atoms
- DOS at the Fermi energy: 0.13 states/eV/f.u.
- Space group: P4_2/mbc, No. 135

Geometry as POSCAR:
```
PdSe
1.0
7.123 0.000 0.000
0.000 11.779 0.000
0.000 0.000 11.779
Pd Se
24 24
direct
0.500 0.269 0.143
0.000 0.643 0.769
0.500 0.046 0.870
0.000 0.857 0.269
0.000 0.370 0.546
0.000 0.143 0.731
0.500 0.954 0.130
0.000 0.630 0.454
0.500 0.546 0.630
0.750 0.387 0.887
0.250 0.887 0.613
0.250 0.113 0.387
0.500 0.769 0.357
0.750 0.613 0.113
0.500 0.231 0.643
0.500 0.454 0.370
0.000 0.870 0.954
0.250 0.613 0.113
0.250 0.387 0.887
0.750 0.887 0.613
0.750 0.113 0.387
0.500 0.731 0.857
0.000 0.357 0.231
0.000 0.130 0.046
0.223 0.177 0.890
0.250 0.096 0.596
0.250 0.404 0.096
0.723 0.890 0.823
0.723 0.610 0.323
0.777 0.677 0.610
0.223 0.823 0.110
0.750 0.596 0.904
0.250 0.904 0.404
0.277 0.110 0.177
0.223 0.323 0.390
0.777 0.323 0.390
0.277 0.390 0.677
0.277 0.890 0.823
0.750 0.904 0.404
0.723 0.390 0.677
0.277 0.610 0.323
0.777 0.177 0.890
0.750 0.404 0.096
0.223 0.677 0.610
0.750 0.096 0.596
0.723 0.110 0.177
0.250 0.596 0.904
0.777 0.823 0.110
```

Pd3Se | PBE | optimized geometry

Calculated values
- Formation energy without anion corrections: -2.7 kJ/mol of atoms
- DOS at the Fermi energy: 4.31 states/eV/f.u.
- Space group: Pmm2, No. 25

Geometry as POSCAR:
```
Pd3Se
1.0
-3.322 2.070 2.238
0.294 -1.987 2.275
3.139 2.817 2.054
Se Pd
1 3
direct
0.000 0.000 0.027
0.000 0.500 0.522
0.500 0.500 0.142
0.500 0.000 0.643
```

PdSe5 | PBE | optimized geometry

Calculated values
- Formation energy without anion corrections: 6.7 kJ/mol of atoms
- DOS at the Fermi energy: 0.30 states/eV/f.u.
- Space group: P-1, No. 2

Geometry as POSCAR:
```
PdSe5
1.0
-3.176 -3.582 0.971
1.875 1.284 -4.759
12.246 -10.301 2.088
Pd Se
2 10
direct
0.172 0.898 0.250
0.828 0.102 0.750
0.777 0.313 0.250
0.223 0.687 0.750
0.407 0.041 0.392
0.592 0.958 0.892
0.593 0.959 0.608
0.408 0.042 0.108
0.295 0.397 0.444
0.704 0.602 0.944
0.705 0.603 0.556
0.296 0.398 0.056
```

Pd4Se | PBE | optimized geometry

Calculated values
- Distance to the lowest polymorph of the same formula: 72 meV per atom
- Formation energy without anion corrections: -7.7 kJ/mol of atoms
- DOS at the Fermi energy: 3.38 states/eV/f.u.
- Space group: Fdd2, No. 43

Geometry as POSCAR:
```
Pd4Se
1.0
5.616 -0.470 0.000
-2.598 5.001 0.000
-1.509 -2.266 6.071
Pd Se
8 2
direct
0.664 0.522 0.771
0.751 0.893 0.229
0.733 0.062 0.873
0.189 0.860 0.127
0.312 0.483 0.373
0.110 0.939 0.627
0.143 0.501 0.729
0.772 0.414 0.271
0.315 0.315 0.000
0.565 0.065 0.500
```

PdSe | PBE | optimized geometry

Calculated values
- Formation energy without anion corrections: -25.4 kJ/mol of atoms
- DOS at the Fermi energy: 0.39 states/eV/f.u.
- Space group: P4/m, No. 83

Geometry as POSCAR:
```
PdSe
1.0
9.397 0.000 0.000
0.000 9.397 0.000
0.000 0.000 4.691
Pd Se
8 8
direct
0.779 0.422 0.500
0.221 0.578 0.500
0.578 0.779 0.500
0.422 0.221 0.500
0.773 0.599 0.000
0.227 0.401 0.000
0.401 0.773 0.000
0.599 0.227 0.000
0.827 0.682 0.500
0.173 0.318 0.500
0.318 0.827 0.500
0.682 0.173 0.500
0.840 0.343 0.000
0.160 0.657 0.000
0.657 0.840 0.000
0.343 0.160 0.000
```

Pd2Se | PBE | optimized geometry

Calculated values
- Distance to the lowest polymorph of the same formula: 4 meV per atom
- Formation energy without anion corrections: -15.6 kJ/mol of atoms
- DOS at the Fermi energy: 1.72 states/eV/f.u.
- Space group: C2/c, No. 15

Geometry as POSCAR:
```
Pd2Se
1.0
5.419 -1.375 -0.652
-1.385 5.417 -0.652
-2.600 -2.605 4.524
Pd Se
4 2
direct
0.205 0.486 0.907
0.514 0.795 0.593
0.795 0.514 0.093
0.486 0.205 0.407
0.085 0.915 0.750
0.915 0.085 0.250
```

Pd13Se2 | PBE | optimized geometry

Calculated values
- Formation energy without anion corrections: -7.0 kJ/mol of atoms
- DOS at the Fermi energy: 17.40 states/eV/f.u.
- Space group: P-1, No. 2

Geometry as POSCAR:
```
Pd13Se2
1.0
-4.671 -0.733 -1.589
3.045 -3.873 -4.285
-2.988 -4.363 5.912
Pd Se
13 2
direct
0.748 0.597 0.061
0.252 0.403 0.939
0.000 0.000 0.000
0.278 0.000 0.661
0.722 0.000 0.339
0.041 0.579 0.714
0.959 0.421 0.286
0.450 0.621 0.400
0.550 0.379 0.600
0.518 0.795 0.864
0.482 0.205 0.136
0.768 0.192 0.800
0.232 0.808 0.200
0.818 0.800 0.581
0.182 0.200 0.419
```

Pd5Se8 | PBE | optimized geometry

Calculated values
- Formation energy without anion corrections: -25.1 kJ/mol of atoms
- DOS at the Fermi energy: 5.53 states/eV/f.u.
- Space group: F-43m, No. 216

Geometry as POSCAR:
```
Pd5Se8
1.0
-5.352 -0.156 5.250
-7.146 -1.147 -1.963
-3.371 -6.472 1.728
Pd Se
5 8
direct
0.880 0.373 0.373
0.373 0.880 0.373
0.373 0.373 0.880
0.373 0.373 0.373
0.750 0.750 0.750
0.594 0.135 0.135
0.135 0.594 0.135
0.135 0.135 0.594
0.135 0.135 0.135
0.159 0.614 0.614
0.614 0.159 0.614
0.614 0.614 0.159
0.614 0.614 0.614
```

PdSe | PBE | optimized geometry

Calculated values
- Formation energy without anion corrections: -31.0 kJ/mol of atoms
- DOS at the Fermi energy: 0.45 states/eV/f.u.
- Space group: P4_2/m, No. 84

Geometry as POSCAR:
```
PdSe
1.0
6.843 0.000 0.000
0.000 6.843 0.000
0.000 0.000 7.023
Pd Se
8 8
direct
0.530 0.739 0.000
0.261 0.530 0.500
0.739 0.470 0.500
0.470 0.261 0.000
0.500 0.000 0.500
0.000 0.500 0.000
0.000 0.000 0.750
0.000 0.000 0.250
0.194 0.307 0.772
0.693 0.194 0.272
0.307 0.806 0.272
0.806 0.693 0.772
0.806 0.693 0.228
0.307 0.806 0.728
0.693 0.194 0.728
0.194 0.307 0.228
```

Pd3Se | PBE | optimized geometry

Calculated values
- Formation energy without anion corrections: -14.7 kJ/mol of atoms
- DOS at the Fermi energy: 1.58 states/eV/f.u.
- Space group: I-4, No. 82

Geometry as POSCAR:
```
Pd3Se
1.0
4.922 0.000 0.000
2.461 7.284 0.000
2.461 0.000 7.284
Pd Se
12 4
direct
0.380 0.979 0.810
0.169 0.021 0.190
0.810 0.810 0.021
0.641 0.190 0.979
0.529 0.336 0.615
0.479 0.664 0.385
0.857 0.615 0.664
0.135 0.385 0.336
0.971 0.965 0.604
0.540 0.035 0.396
0.425 0.604 0.035
0.064 0.396 0.965
0.033 0.250 0.692
0.975 0.750 0.308
0.275 0.692 0.750
0.717 0.308 0.250
```

PdSe2 | PBE | optimized geometry

Calculated values
- Formation energy without anion corrections: -27.0 kJ/mol of atoms
- Space group: P2_1/c, No. 14

Geometry as POSCAR:
```
PdSe2
1.0
5.779 0.000 0.000
0.000 5.877 -0.873
0.000 -1.080 4.480
Pd Se
2 4
direct
0.000 0.500 0.000
0.500 0.000 0.000
0.611 0.670 0.174
0.889 0.170 0.174
0.389 0.330 0.826
0.111 0.830 0.826
```

PdSe | PBE | optimized geometry

Calculated values
- Formation energy without anion corrections: -10.2 kJ/mol of atoms
- DOS at the Fermi energy: 1.77 states/eV/f.u.
- Space group: P6_3mc, No. 186

Geometry as POSCAR:
```
PdSe
1.0
3.820 0.000 0.000
-1.910 3.309 0.000
0.000 0.000 7.209
Pd Se
2 2
direct
0.333 0.667 0.715
0.667 0.333 0.215
0.333 0.667 0.367
0.667 0.333 0.867
```

PdSe | PBE | optimized geometry

Calculated values
- Formation energy without anion corrections: -10.9 kJ/mol of atoms
- DOS at the Fermi energy: 1.44 states/eV/f.u.
- Space group: I4/m, No. 87

Geometry as POSCAR:
```
PdSe
1.0
10.112 0.000 0.000
0.000 10.112 0.000
0.000 0.000 4.197
Pd Se
8 8
direct
0.342 0.217 0.000
0.658 0.783 0.000
0.783 0.342 0.000
0.217 0.658 0.000
0.842 0.717 0.500
0.158 0.283 0.500
0.283 0.842 0.500
0.717 0.158 0.500
0.414 0.802 0.000
0.586 0.198 0.000
0.198 0.414 0.000
0.802 0.586 0.000
0.914 0.302 0.500
0.086 0.698 0.500
0.698 0.914 0.500
0.302 0.086 0.500
```

PdSe | PBE | optimized geometry

Calculated values
- Formation energy without anion corrections: -19.2 kJ/mol of atoms
- DOS at the Fermi energy: 1.17 states/eV/f.u.
- Space group: Pmmn, No. 59

Geometry as POSCAR:
```
PdSe
1.0
4.773 0.000 0.000
0.000 4.669 0.000
0.000 0.000 10.431
Pd Se
6 6
direct
0.000 0.662 0.788
0.500 0.338 0.712
0.500 0.338 0.288
0.000 0.662 0.212
0.000 0.749 0.500
0.500 0.251 0.000
0.000 0.148 0.665
0.500 0.852 0.835
0.500 0.852 0.165
0.000 0.148 0.335
0.000 0.392 0.000
0.500 0.608 0.500
```

PdSe | PBE | optimized geometry

Calculated values
- Formation energy without anion corrections: -10.4 kJ/mol of atoms
- DOS at the Fermi energy: 2.02 states/eV/f.u.
- Space group: P6_3mc, No. 186

Geometry as POSCAR:
```
PdSe
1.0
-2.275 -2.360 2.158
1.791 -1.392 -3.203
10.963 -3.549 7.674
Pd Se
4 4
direct
0.333 0.667 0.247
0.667 0.333 0.747
0.000 0.000 0.495
0.000 0.000 0.995
0.333 0.667 0.067
0.667 0.333 0.567
0.000 0.000 0.315
0.000 0.000 0.815
```

PdSe | PBE | optimized geometry

Calculated values
- Formation energy without anion corrections: -21.9 kJ/mol of atoms
- DOS at the Fermi energy: 1.17 states/eV/f.u.
- Space group: Pmn2_1, No. 31

Geometry as POSCAR:
```
PdSe
1.0
11.929 0.000 0.000
0.000 4.347 0.000
0.000 0.000 4.806
Pd Se
6 6
direct
0.804 0.137 0.286
0.696 0.863 0.786
0.196 0.137 0.286
0.304 0.863 0.786
0.000 0.355 0.540
0.500 0.645 0.040
0.820 0.351 0.792
0.680 0.649 0.292
0.180 0.351 0.792
0.320 0.649 0.292
0.000 0.858 0.305
0.500 0.142 0.805
```

Pd5Se4 | PBE | optimized geometry

Calculated values
- Formation energy without anion corrections: 3.7 kJ/mol of atoms
- DOS at the Fermi energy: 6.11 states/eV/f.u.
- Space group: I4/mmm, No. 139

Geometry as POSCAR:
```
Pd5Se4
1.0
-0.212 3.348 -0.742
-6.553 1.638 1.311
1.525 3.171 5.913
Pd Se
5 4
direct
0.676 0.324 0.324
0.324 0.676 0.676
0.000 0.000 0.000
0.000 0.676 0.324
0.000 0.324 0.676
0.663 0.000 0.673
0.337 0.327 0.000
0.337 0.000 0.327
0.663 0.673 0.000
```

PdSe | PBE | optimized geometry

Calculated values
- Formation energy without anion corrections: -28.9 kJ/mol of atoms
- DOS at the Fermi energy: 0.56 states/eV/f.u.
- Space group: P4_2/mmc, No. 131

Geometry as POSCAR:
```
PdSe
1.0
3.797 0.000 0.000
0.000 3.797 0.000
0.000 0.000 6.330
Pd Se
2 2
direct
0.500 0.000 0.500
0.000 0.500 0.000
0.000 0.000 0.750
0.000 0.000 0.250
```

PdSe | PBE | optimized geometry

Calculated values
- Formation energy without anion corrections: -11.2 kJ/mol of atoms
- DOS at the Fermi energy: 1.60 states/eV/f.u.
- Space group: F-43m, No. 216

Geometry as POSCAR:
```
PdSe
1.0
-4.708 2.093 2.440
-3.176 -2.353 -4.109
-0.501 -4.753 3.110
Pd Se
4 4
direct
0.000 0.000 0.000
0.000 0.500 0.500
0.500 0.000 0.500
0.500 0.500 0.000
0.250 0.250 0.250
0.250 0.750 0.750
0.750 0.250 0.750
0.750 0.750 0.250
```